BaSnIrC2: relaxed, PBE-GGA.

Output
total magnetic moment	0.000	μB per atom
density of states at the Fermi level	4.3	states/eV per cell
E_tot	-26.77	eV per cell

Cell and atoms, written as CIF:
```
data_BaSnIrC2
_chemical_formula_sum 'Ba1 Sn1 Ir1 C2'
_symmetry_space_group_name_H-M 'P 1'
_symmetry_Int_Tables_number 1
_symmetry_space_group_name_Hall 'P 1'
_cell_length_a 4.211
_cell_length_b 4.211
_cell_length_c 5.640
_cell_angle_alpha 90.00
_cell_angle_beta 90.00
_cell_angle_gamma 90.00
loop_
_atom_site_label
_atom_site_fract_x
_atom_site_fract_y
_atom_site_fract_z
Ba1 0.000 0.000 0.000
Sn1 0.500 0.500 0.000
Ir1 0.500 0.500 0.500
C1 0.000 0.500 0.500
C2 0.500 0.000 0.500
```